No. 1
# CsNaCdCl4 GGA-PBE optimized geometry
data_CsNaCdCl4
_chemical_formula_sum 'Cs2 Na2 Cd2 Cl8'
_cell_length_a 7.1080
_cell_length_b 7.4189
_cell_length_c 9.4317
_cell_angle_alpha 90.00
_cell_angle_beta 105.50
_cell_angle_gamma 90.00
_space_group_name_H-M_alt 'P 1'
_space_group_IT_number 1
_space_group_name_Hall 'P 1'
loop_
_atom_site_label
_atom_site_type_symbol
_atom_site_fract_x
_atom_site_fract_y
_atom_site_fract_z
Cs1 Cs 0.2419 0.2500 0.0512
Cs2 Cs 0.7581 0.7500 0.9488
Na1 Na 0.1444 0.2500 0.5164
Na2 Na 0.8556 0.7500 0.4836
Cd1 Cd 0.2553 0.7500 0.3222
Cd2 Cd 0.7447 0.2500 0.6778
Cl1 Cl 0.0051 0.0071 0.7024
Cl2 Cl 0.0051 0.4929 0.7024
Cl3 Cl 0.3459 0.7500 0.0882
Cl4 Cl 0.4916 0.2500 0.4418
Cl5 Cl 0.5084 0.7500 0.5582
Cl6 Cl 0.6541 0.2500 0.9118
Cl7 Cl 0.9949 0.5071 0.2976
Cl8 Cl 0.9949 0.9929 0.2976
# Crystal system: monoclinic
# Space group: No. 11

No. 2
# CsNa2Cd2Cl7 GGA-PBE optimized geometry
data_CsNa2Cd2Cl7
_chemical_formula_sum 'Cs1 Na2 Cd2 Cl7'
_cell_length_a 11.7065
_cell_length_b 11.7065
_cell_length_c 11.7065
_cell_angle_alpha 153.05
_cell_angle_beta 153.05
_cell_angle_gamma 38.49
_space_group_name_H-M_alt 'P 1'
_space_group_IT_number 1
_space_group_name_Hall 'P 1'
loop_
_atom_site_label
_atom_site_type_symbol
_atom_site_fract_x
_atom_site_fract_y
_atom_site_fract_z
Cs1 Cs 0.0000 0.0000 0.0000
Na1 Na 0.2500 0.7500 0.5000
Na2 Na 0.7500 0.2500 0.5000
Cd1 Cd 0.3824 0.3824 0.0000
Cd2 Cd 0.6176 0.6176 0.0000
Cl1 Cl 0.1196 0.6196 0.5000
Cl2 Cl 0.2647 0.2647 0.0000
Cl3 Cl 0.3804 0.8804 0.5000
Cl4 Cl 0.5000 0.5000 0.0000
Cl5 Cl 0.6196 0.1196 0.5000
Cl6 Cl 0.7353 0.7353 0.0000
Cl7 Cl 0.8804 0.3804 0.5000
# Crystal system: tetragonal
# Space group: No. 139

No. 3
# Cs2NaCd2Cl7 GGA-PBE optimized geometry
data_Cs2NaCd2Cl7
_chemical_formula_sum 'Cs2 Na1 Cd2 Cl7'
_cell_length_a 14.1259
_cell_length_b 14.1259
_cell_length_c 14.1259
_cell_angle_alpha 158.37
_cell_angle_beta 158.37
_cell_angle_gamma 30.77
_space_group_name_H-M_alt 'P 1'
_space_group_IT_number 1
_space_group_name_Hall 'P 1'
loop_
_atom_site_label
_atom_site_type_symbol
_atom_site_fract_x
_atom_site_fract_y
_atom_site_fract_z
Cs1 Cs 0.1788 0.1788 0.0000
Cs2 Cs 0.8212 0.8212 0.0000
Na1 Na 0.0000 0.0000 0.0000
Cd1 Cd 0.4039 0.4039 0.0000
Cd2 Cd 0.5961 0.5961 0.0000
Cl1 Cl 0.0887 0.5887 0.5000
Cl2 Cl 0.3087 0.3087 0.0000
Cl3 Cl 0.4113 0.9113 0.5000
Cl4 Cl 0.5000 0.5000 0.0000
Cl5 Cl 0.5887 0.0887 0.5000
Cl6 Cl 0.6913 0.6913 0.0000
Cl7 Cl 0.9113 0.4113 0.5000
# Crystal system: tetragonal
# Space group: No. 139

No. 4
# Cs3NaCd2Cl8 GGA-PBE optimized geometry
data_Cs3NaCd2Cl8
_chemical_formula_sum 'Cs3 Na1 Cd2 Cl8'
_cell_length_a 7.6487
_cell_length_b 7.6487
_cell_length_c 9.8987
_cell_angle_alpha 90.00
_cell_angle_beta 90.00
_cell_angle_gamma 120.00
_space_group_name_H-M_alt 'P 1'
_space_group_IT_number 1
_space_group_name_Hall 'P 1'
loop_
_atom_site_label
_atom_site_type_symbol
_atom_site_fract_x
_atom_site_fract_y
_atom_site_fract_z
Cs1 Cs 0.0000 0.0000 0.0000
Cs2 Cs 0.3333 0.6667 0.6250
Cs3 Cs 0.6667 0.3333 0.3750
Na1 Na 0.0000 0.0000 0.5000
Cd1 Cd 0.3333 0.6667 0.2079
Cd2 Cd 0.6667 0.3333 0.7921
Cl1 Cl 0.1632 0.3263 0.3196
Cl2 Cl 0.1632 0.8368 0.3196
Cl3 Cl 0.3263 0.1632 0.6804
Cl4 Cl 0.3333 0.6667 0.9630
Cl5 Cl 0.6667 0.3333 0.0370
Cl6 Cl 0.6737 0.8368 0.3196
Cl7 Cl 0.8368 0.1632 0.6804
Cl8 Cl 0.8368 0.6737 0.6804
# Crystal system: trigonal
# Space group: No. 164

No. 5
# Cs3Na2CdCl6 GGA-PBE optimized geometry
data_Cs3Na2CdCl6
_chemical_formula_sum 'Cs3 Na2 Cd1 Cl6'
_cell_length_a 7.8035
_cell_length_b 7.8035
_cell_length_c 8.9276
_cell_angle_alpha 90.00
_cell_angle_beta 90.00
_cell_angle_gamma 120.00
_space_group_name_H-M_alt 'P 1'
_space_group_IT_number 1
_space_group_name_Hall 'P 1'
loop_
_atom_site_label
_atom_site_type_symbol
_atom_site_fract_x
_atom_site_fract_y
_atom_site_fract_z
Cs1 Cs 0.0000 0.0000 0.0000
Cs2 Cs 0.3333 0.6667 0.6215
Cs3 Cs 0.6667 0.3333 0.3785
Na1 Na 0.3333 0.6667 0.1764
Na2 Na 0.6667 0.3333 0.8236
Cd1 Cd 0.0000 0.0000 0.5000
Cl1 Cl 0.1599 0.3198 0.3137
Cl2 Cl 0.1599 0.8401 0.3137
Cl3 Cl 0.3198 0.1599 0.6863
Cl4 Cl 0.6802 0.8401 0.3137
Cl5 Cl 0.8401 0.1599 0.6863
Cl6 Cl 0.8401 0.6802 0.6863
# Crystal system: trigonal
# Space group: No. 164

No. 6
# Cs2NaCdCl GGA-PBE optimized geometry
data_Cs2NaCdCl
_chemical_formula_sum 'Cs2 Na1 Cd1 Cl1'
_cell_length_a 6.8673
_cell_length_b 6.8673
_cell_length_c 5.5459
_cell_angle_alpha 90.00
_cell_angle_beta 90.00
_cell_angle_gamma 90.00
_space_group_name_H-M_alt 'P 1'
_space_group_IT_number 1
_space_group_name_Hall 'P 1'
loop_
_atom_site_label
_atom_site_type_symbol
_atom_site_fract_x
_atom_site_fract_y
_atom_site_fract_z
Cs1 Cs 0.0000 0.5000 0.0000
Cs2 Cs 0.5000 0.0000 0.0000
Na1 Na 0.0000 0.0000 0.5000
Cd1 Cd 0.5000 0.5000 0.5000
Cl1 Cl 0.0000 0.0000 0.0000
# Crystal system: tetragonal
# Space group: No. 123

No. 7
# CsNa2CdCl GGA-PBE optimized geometry
data_CsNa2CdCl
_chemical_formula_sum 'Cs1 Na2 Cd1 Cl1'
_cell_length_a 7.3387
_cell_length_b 7.3387
_cell_length_c 7.2503
_cell_angle_alpha 90.00
_cell_angle_beta 90.00
_cell_angle_gamma 90.00
_space_group_name_H-M_alt 'P 1'
_space_group_IT_number 1
_space_group_name_Hall 'P 1'
loop_
_atom_site_label
_atom_site_type_symbol
_atom_site_fract_x
_atom_site_fract_y
_atom_site_fract_z
Cs1 Cs 0.0000 0.0000 0.0000
Na1 Na 0.0000 0.5000 0.0000
Na2 Na 0.5000 0.0000 0.0000
Cd1 Cd 0.0000 0.0000 0.5000
Cl1 Cl 0.5000 0.5000 0.5000
# Crystal system: tetragonal
# Space group: No. 123

No. 8
# CsNaCd2Cl6 GGA-PBE optimized geometry
data_CsNaCd2Cl6
_chemical_formula_sum 'Cs2 Na2 Cd4 Cl12'
_cell_length_a 10.1285
_cell_length_b 10.1285
_cell_length_c 7.8221
_cell_angle_alpha 101.28
_cell_angle_beta 101.28
_cell_angle_gamma 94.03
_space_group_name_H-M_alt 'P 1'
_space_group_IT_number 1
_space_group_name_Hall 'P 1'
loop_
_atom_site_label
_atom_site_type_symbol
_atom_site_fract_x
_atom_site_fract_y
_atom_site_fract_z
Cs1 Cs 0.1109 0.8891 0.7500
Cs2 Cs 0.8891 0.1109 0.2500
Na1 Na 0.2316 0.7684 0.2500
Na2 Na 0.7684 0.2316 0.7500
Cd1 Cd 0.2333 0.3865 0.8000
Cd2 Cd 0.3865 0.2333 0.3000
Cd3 Cd 0.6135 0.7667 0.7000
Cd4 Cd 0.7667 0.6135 0.2000
Cl1 Cl 0.0330 0.2117 0.7001
Cl2 Cl 0.1648 0.6078 0.9265
Cl3 Cl 0.2117 0.0330 0.2001
Cl4 Cl 0.3097 0.4181 0.5147
Cl5 Cl 0.3922 0.8352 0.5735
Cl6 Cl 0.4181 0.3097 0.0147
Cl7 Cl 0.5819 0.6903 0.9853
Cl8 Cl 0.6078 0.1648 0.4265
Cl9 Cl 0.6903 0.5819 0.4853
Cl10 Cl 0.7883 0.9670 0.7999
Cl11 Cl 0.8352 0.3922 0.0735
Cl12 Cl 0.9670 0.7883 0.2999
# Crystal system: monoclinic
# Space group: No. 15

No. 9
# Cs3NaCd2Cl9 GGA-PBE optimized geometry
data_Cs3NaCd2Cl9
_chemical_formula_sum 'Cs3 Na1 Cd2 Cl9'
_cell_length_a 7.5606
_cell_length_b 7.5606
_cell_length_c 9.3961
_cell_angle_alpha 90.00
_cell_angle_beta 90.00
_cell_angle_gamma 120.00
_space_group_name_H-M_alt 'P 1'
_space_group_IT_number 1
_space_group_name_Hall 'P 1'
loop_
_atom_site_label
_atom_site_type_symbol
_atom_site_fract_x
_atom_site_fract_y
_atom_site_fract_z
Cs1 Cs 0.0000 0.0000 0.0000
Cs2 Cs 0.3333 0.6667 0.6623
Cs3 Cs 0.6667 0.3333 0.3377
Na1 Na 0.0000 0.0000 0.5000
Cd1 Cd 0.3333 0.6667 0.1676
Cd2 Cd 0.6667 0.3333 0.8324
Cl1 Cl 0.0000 0.5000 0.0000
Cl2 Cl 0.1697 0.3395 0.3238
Cl3 Cl 0.1697 0.8303 0.3238
Cl4 Cl 0.3395 0.1697 0.6762
Cl5 Cl 0.5000 0.0000 0.0000
Cl6 Cl 0.5000 0.5000 0.0000
Cl7 Cl 0.6605 0.8303 0.3238
Cl8 Cl 0.8303 0.1697 0.6762
Cl9 Cl 0.8303 0.6605 0.6762
# Crystal system: trigonal
# Space group: No. 164

No. 10
# Cs2NdCdCl6 GGA-PBE optimized geometry
data_Cs2NdCdCl6
_chemical_formula_sum 'Cs4 Nd2 Cd2 Cl12'
_cell_length_a 8.0301
_cell_length_b 11.3502
_cell_length_c 8.0237
_cell_angle_alpha 90.00
_cell_angle_beta 90.00
_cell_angle_gamma 90.00
_space_group_name_H-M_alt 'P 1'
_space_group_IT_number 1
_space_group_name_Hall 'P 1'
loop_
_atom_site_label
_atom_site_type_symbol
_atom_site_fract_x
_atom_site_fract_y
_atom_site_fract_z
Cs1 Cs 0.2500 0.0001 0.2504
Cs2 Cs 0.2500 0.4999 0.2504
Cs3 Cs 0.7500 0.9999 0.7496
Cs4 Cs 0.7500 0.5001 0.7496
Nd1 Nd 0.2500 0.2500 0.7480
Nd2 Nd 0.7500 0.7500 0.2520
Cd1 Cd 0.2500 0.7500 0.7520
Cd2 Cd 0.7500 0.2500 0.2480
Cl1 Cl 0.0090 0.2500 0.5067
Cl2 Cl 0.0091 0.2500 0.9894
Cl3 Cl 0.2500 0.0088 0.7471
Cl4 Cl 0.2500 0.4912 0.7471
Cl5 Cl 0.4910 0.2500 0.5067
Cl6 Cl 0.4909 0.2500 0.9894
Cl7 Cl 0.5091 0.7500 0.0106
Cl8 Cl 0.5090 0.7500 0.4933
Cl9 Cl 0.7500 0.5088 0.2529
Cl10 Cl 0.7500 0.9912 0.2529
Cl11 Cl 0.9909 0.7500 0.0106
Cl12 Cl 0.9910 0.7500 0.4933
# Crystal system: orthorhombic
# Space group: No. 59

How do the records compare in total energy? In the order shown, they have -3.042; -2.996; -2.949; -3.056; -2.933; -1.798; -1.052; -2.894; -2.937; -3.645 eV/atom.
How do the records compare in formation energy (no corrections)? In the order shown, they have -1.55; -1.48; -1.47; -1.59; -1.50; -0.64; 0.20; -1.39; -1.45; -1.80 eV per atom.